! Cu3Ag4 | the Open Quantum Materials Database | PBE | optimized geometry; values from VASP
! * excess energy over the best structure of this formula in the dataset: 0.38 eV per formula unit
! * crystal system: trigonal
! * mass density: 9.55 Mg/m³
&SYSTEM
  ibrav = 0, nat = 7, ntyp = 2
/
ATOMIC_SPECIES
Cu 63.55 Cu.upf
Ag 107.87 Ag.upf
ATOMIC_POSITIONS crystal
Cu 0.000 0.000 0.000
Cu 0.135 0.135 0.135
Cu 0.708 0.708 0.708
Ag 0.286 0.286 0.286
Ag 0.422 0.422 0.422
Ag 0.567 0.567 0.567
Ag 0.849 0.849 0.849
CELL_PARAMETERS angstrom
1.406 0.812 15.807
-1.406 0.812 15.807
0.000 -1.623 15.807